Entry from Alexandria: a relaxed GaSbCl2 crystal (PBE-GGA).

Summary:
ΔE_f (raw), eV per atom: -0.450
Size of the total moment, Bohr magnetons per cell: 0.00
N(E_F), states/eV/f.u.: 0.689
V, A^3/atom: 26.9

Lattice parameters (Å, degrees): 3.6316 3.6316 28.2133 90.00 90.00 120.00
Closest atoms and distances in Å follow each position.
Space group R-3m (No. 166, hexagonal axes)
Unique sites:
1 Ga 0.0000 0.0000 0.0000  6 Cl 2.93
2 Sb 0.0000 0.0000 0.5000  2 Cl 2.65
3 Cl 0.0000 0.0000 0.4060  1 Sb 2.65, 3 Ga 2.93